# HfMn3V GGA-PBE optimized geometry
# DOS at the Fermi energy   2.89 states/eV/f.u.
# E_form   0.6319 eV/atom
data_HfMn3V
_chemical_formula_sum 'Hf1 Mn3 V1'
_cell_length_a 4.274
_cell_length_b 4.274
_cell_length_c 4.274
_cell_angle_alpha 90.00
_cell_angle_beta 90.00
_cell_angle_gamma 90.00
_space_group_name_H-M_alt 'P 1'
_space_group_IT_number 1
loop_
_space_group_symop_operation_xyz
'x,y,z'
loop_
_atom_site_label
_atom_site_type_symbol
_atom_site_fract_x
_atom_site_fract_y
_atom_site_fract_z
Mn1 Mn 0.000 0.500 0.000
Mn2 Mn 0.000 0.000 0.500
Mn3 Mn 0.500 0.000 0.000
Hf1 Hf 0.500 0.500 0.500
V1 V 0.000 0.000 0.000